The following is a DFT calculation (PBE) of an optimized crystal structure of KSe6.

Results
As for the uncorrected formation energy: 160.0 meV/atom.

abc: 6.756 6.756 6.756
angles: 109.47 109.47 109.47
Element x y z (fractional)
K (0.000, 0.000, 0.000)
Se (0.250, 0.750, 0.500)
Se (0.500, 0.750, 0.250)
Se (0.250, 0.500, 0.750)
Se (0.750, 0.250, 0.500)
Se (0.500, 0.250, 0.750)
Se (0.750, 0.500, 0.250)